K2CoMo | PBE | relaxed

Structure (POSCAR):
```
K2CoMo
1.0
-1.9644 -1.8237 0.7215
2.1821 -0.4149 1.6649
-4.3610 7.7199 7.6394
Co K Mo
1 2 1
Direct
0.5000 0.5000 0.7500 Co
0.0000 0.0000 0.9853 K
0.0000 0.0000 0.5147 K
0.5000 0.5000 0.2500 Mo
```

Values from the calculation:
**Calculated density**: 4.50 Mg/m³
**DFT formation energy**: 1392 meV/atom
**Crystal system**: orthorhombic
**Spin magnetization**: 1.57 μB/f.u.



CaTl3Hg | PBE | relaxed

Structure (POSCAR):
```
CaTl3Hg
1.0
4.5654 -0.0037 -1.2564
-0.3511 6.7386 -1.2440
0.0300 0.2382 9.1652
Ca Tl Hg
2 6 2
Direct
0.1468 0.4332 0.2607 Ca
0.9374 0.8485 0.8438 Ca
0.5417 0.6405 0.0509 Tl
0.3278 0.0359 0.6264 Tl
0.9377 0.3452 0.8482 Tl
0.1417 0.9288 0.2463 Tl
0.3370 0.5328 0.6469 Tl
0.5404 0.1433 0.0473 Tl
0.7404 0.7318 0.4461 Hg
0.7369 0.2368 0.4401 Hg
```

Values from the calculation:
**Calculated density**: 10.00 Mg/m³
**DFT formation energy**: -199 meV/atom
**Crystal system**: triclinic
**Spin magnetization**: 0.00 μB/f.u.



Quick rundown of final energy, same order as above: -3.641 -2.080 eV/atom